The following is a GGA-PBE calculation of an optimized crystal structure of MgZnFeAs, from the Open Quantum Materials Database.

Its density is 6.4 Mg/m³. The calculation puts the total energy at -3.789 eV per atom. The symmetry is F-43m (216). The calculation puts the relative energy among the computed polymorphs at 0.000 eV/atom. Its magnetic moment is 1.01 μB/cell.

The structure in CIF format:
```
data_MgZnFeAs
_space_group_name_H-M_alt 'P 1'
_space_group_IT_number 1
_space_group_name_Hall 'P 1'
_cell_length_a 4.334
_cell_length_b 4.334
_cell_length_c 4.334
_cell_angle_alpha 60.00
_cell_angle_beta 60.00
_cell_angle_gamma 60.00
loop_
_atom_site_label
_atom_site_type_symbol
_atom_site_fract_x
_atom_site_fract_y
_atom_site_fract_z
_atom_site_occupancy
Mg1 Mg 0.250 0.250 0.250 1
As1 As 0.000 0.000 0.000 1
Fe1 Fe 0.750 0.750 0.750 1
Zn1 Zn 0.500 0.500 0.500 1
```